# 1
A plane-wave DFT calculation with GGA-PBE was carried out for a relaxed Rb3NaPa2Te6 crystal.

Computed properties:
E = -54.1 eV for the cell shown

a = 8.039 Å, b = 8.039 Å, c = 8.908 Å
α = 98.63°, β = 98.63°, γ = 120.00°
Atoms (fractional coordinates):
Rb 0.000 0.000 0.000
Rb 0.341 0.659 0.000
Rb 0.659 0.341 0.000
Na 0.500 0.500 0.500
Pa 0.167 0.833 0.500
Pa 0.833 0.167 0.500
Te 0.078 0.432 0.298
Te 0.213 0.213 0.699
Te 0.432 0.078 0.298
Te 0.568 0.922 0.702
Te 0.787 0.787 0.301
Te 0.922 0.568 0.702

***

# 2
A plane-wave DFT calculation with GGA-PBE was carried out for a relaxed Rb2NaPa2Te5 crystal.

Computed properties:
E = -92.2 eV for the cell shown

a = 13.660 Å, b = 13.660 Å, c = 4.016 Å
α = 90.00°, β = 90.00°, γ = 90.00°
Atoms (fractional coordinates):
Rb 0.179 0.321 0.000
Rb 0.321 0.821 0.000
Rb 0.679 0.179 0.000
Rb 0.821 0.679 0.000
Na 0.000 0.000 0.000
Na 0.500 0.500 0.000
Pa 0.122 0.622 0.000
Pa 0.378 0.122 0.000
Pa 0.622 0.878 0.000
Pa 0.878 0.378 0.000
Te 0.000 0.500 0.500
Te 0.072 0.787 0.500
Te 0.213 0.072 0.500
Te 0.287 0.572 0.500
Te 0.428 0.287 0.500
Te 0.500 0.000 0.500
Te 0.572 0.713 0.500
Te 0.713 0.428 0.500
Te 0.787 0.928 0.500
Te 0.928 0.213 0.500

***

# 3
A plane-wave DFT calculation with GGA-PBE was carried out for a relaxed RbNaPaTe3 crystal.

Computed properties:
E = -53.4 eV for the cell shown

a = 9.978 Å, b = 4.628 Å, c = 10.807 Å
α = 90.00°, β = 107.41°, γ = 90.00°
Atoms (fractional coordinates):
Rb 0.222 0.250 0.260
Rb 0.778 0.750 0.740
Na 0.072 0.250 0.601
Na 0.928 0.750 0.399
Pa 0.327 0.750 0.852
Pa 0.673 0.250 0.148
Te 0.132 0.250 0.889
Te 0.247 0.750 0.558
Te 0.464 0.750 0.152
Te 0.536 0.250 0.848
Te 0.753 0.250 0.442
Te 0.868 0.750 0.111

***

# 4
A plane-wave DFT calculation with GGA-PBE was carried out for a relaxed NaPaRh2 crystal.

Computed properties:
E = -27.2 eV for the cell shown
polymorph energy (0 for the lowest one) = 0 meV/atom
energy of formation from the pure elements = -1.7 eV per formula unit

a = 3.471 Å, b = 3.471 Å, c = 6.731 Å
α = 90.00°, β = 90.00°, γ = 90.00°
Atoms (fractional coordinates):
Na 0.000 0.000 0.000
Pa 0.000 0.000 0.500
Rh 0.500 0.500 0.289
Rh 0.500 0.500 0.711

***

# 5
A plane-wave DFT calculation with GGA-PBE was carried out for a relaxed NaPaRh2 crystal.

Computed properties:
E = -27.0 eV for the cell shown
polymorph energy (0 for the lowest one) = 46 meV/atom
energy of formation from the pure elements = -1.5 eV per formula unit

a = 4.432 Å, b = 4.432 Å, c = 3.681 Å
α = 90.00°, β = 90.00°, γ = 90.00°
Atoms (fractional coordinates):
Na 0.000 0.000 0.000
Pa 0.500 0.500 0.000
Rh 0.000 0.500 0.500
Rh 0.500 0.000 0.500

***

# 6
A plane-wave DFT calculation with GGA-PBE was carried out for a relaxed NaPaRhS3 crystal.

Computed properties:
E = -75.4 eV for the cell shown

a = 8.062 Å, b = 3.971 Å, c = 8.701 Å
α = 90.00°, β = 103.86°, γ = 90.00°
Atoms (fractional coordinates):
Na 0.188 0.250 0.239
Na 0.812 0.750 0.761
Pa 0.314 0.750 0.821
Pa 0.686 0.250 0.179
Rh 0.102 0.250 0.585
Rh 0.898 0.750 0.415
S 0.106 0.250 0.864
S 0.227 0.750 0.514
S 0.438 0.750 0.151
S 0.562 0.250 0.849
S 0.773 0.250 0.486
S 0.894 0.750 0.136

***

# 7
A plane-wave DFT calculation with GGA-PBE was carried out for a relaxed Na2PaRhS4 crystal.

Computed properties:
E = -43.7 eV for the cell shown

a = 5.850 Å, b = 5.850 Å, c = 5.850 Å
α = 108.02°, β = 108.02°, γ = 112.42°
Atoms (fractional coordinates):
Na 0.000 0.500 0.500
Na 0.500 0.000 0.500
Pa 0.000 0.000 0.000
Rh 0.500 0.500 0.000
S 0.082 0.082 0.609
S 0.474 0.474 0.391
S 0.526 0.918 0.000
S 0.918 0.526 0.000

***

# 8
A plane-wave DFT calculation with GGA-PBE was carried out for a relaxed Na2Pa2RhS6 crystal.

Computed properties:
E = -67.5 eV for the cell shown

a = 6.664 Å, b = 6.664 Å, c = 7.157 Å
α = 98.25°, β = 98.25°, γ = 121.03°
Atoms (fractional coordinates):
Na 0.162 0.838 0.000
Na 0.838 0.162 0.000
Pa 0.336 0.664 0.500
Pa 0.664 0.336 0.500
Rh 0.000 0.000 0.500
S 0.069 0.409 0.721
S 0.248 0.248 0.284
S 0.409 0.069 0.721
S 0.591 0.931 0.279
S 0.752 0.752 0.716
S 0.931 0.591 0.279

***

# 9
A plane-wave DFT calculation with GGA-PBE was carried out for a relaxed Na3PaRh2S6 crystal.

Computed properties:
E = -65.3 eV for the cell shown

a = 6.302 Å, b = 6.302 Å, c = 7.119 Å
α = 98.53°, β = 98.53°, γ = 119.98°
Atoms (fractional coordinates):
Na 0.000 0.000 0.000
Na 0.338 0.662 0.000
Na 0.662 0.338 0.000
Pa 0.500 0.500 0.500
Rh 0.167 0.833 0.500
Rh 0.833 0.167 0.500
S 0.070 0.430 0.291
S 0.209 0.209 0.709
S 0.430 0.070 0.291
S 0.570 0.930 0.709
S 0.791 0.791 0.291
S 0.930 0.570 0.709

***

# 10
A plane-wave DFT calculation with GGA-PBE was carried out for a relaxed Na3Pa3RhS8 crystal.

Computed properties:
E = -92.0 eV for the cell shown

a = 7.636 Å, b = 7.636 Å, c = 8.219 Å
α = 117.61°, β = 117.61°, γ = 60.08°
Atoms (fractional coordinates):
Na 0.000 0.000 0.000
Na 0.000 0.500 0.000
Na 0.500 0.000 0.000
Pa 0.000 0.500 0.500
Pa 0.500 0.000 0.500
Pa 0.500 0.500 0.500
Rh 0.000 0.000 0.500
S 0.229 0.229 0.715
S 0.229 0.758 0.716
S 0.242 0.771 0.284
S 0.254 0.254 0.261
S 0.746 0.746 0.739
S 0.758 0.229 0.716
S 0.771 0.242 0.284
S 0.771 0.771 0.285

***

Quick rundown of size of the total moment, same order as above: 2.0; 2.5; 1.0; 0.0; 0.0; 0.0; 0.0; 0.9; 0.5; 3.6 μB per formula unit